Compound: SrBi3Pb
Source: Alexandria
Functional: PBE
Structure: relaxed

## Properties
Energy above the lowest structure with this stoichiometry: 0.98 eV per formula unit
ρ: 8.19 g/cm³
Energy of formation from the pure elements: -113.3 meV per atom

a = 7.7048 Å, b = 7.7048 Å, c = 7.7048 Å
α = 67.31°, β = 67.31°, γ = 67.31°
Last column: nearest neighbours and their distance in Å.
Sites, in units of the cell vectors:
Sr1 0.0000 0.0000 0.0000  1 Pb 3.34, 6 Bi 3.55-3.61
Sr2 0.5000 0.5000 0.5000  1 Pb 3.34, 6 Bi 3.55-3.61
Bi1 0.1305 0.9615 0.4101  2 Pb 3.21-3.24, 2 Bi 3.35, 1 Sr 3.55
Bi2 0.4101 0.1305 0.9615  2 Pb 3.21-3.24, 2 Bi 3.35, 1 Sr 3.55
Bi3 0.4615 0.6305 0.9101  2 Pb 3.21-3.24, 2 Bi 3.35, 1 Sr 3.55
Bi4 0.6305 0.9101 0.4615  2 Pb 3.21-3.24, 2 Bi 3.35, 1 Sr 3.55
Bi5 0.9101 0.4615 0.6305  2 Pb 3.21-3.24, 2 Bi 3.35, 1 Sr 3.55
Bi6 0.9615 0.4101 0.1305  2 Pb 3.21-3.24, 2 Bi 3.35, 1 Sr 3.55
Pb1 0.3119 0.3119 0.3119  6 Bi 3.21-3.24, 1 Sr 3.34
Pb2 0.8119 0.8119 0.8119  6 Bi 3.21-3.24, 1 Sr 3.34